# 1
First-principles (PBE) data for a geometry-optimized LaTa3Tl structure, as listed in the Alexandria database.

Its energy of formation from the pure elements is 2.18 eV per atom. The excess energy over the best structure of this formula in the dataset comes out at 0.289 eV per atom.

The space group is Pm-3m (No. 221) and the conventional cell measures 5.0048, 5.0048 and 5.0048 Å, with angles of 90.00, 90.00 and 90.00 degrees. The inequivalent atoms are La at (0.0000, 0.0000, 0.0000), Ta at (0.0000, 0.0000, 0.5000) and Tl at (0.5000, 0.5000, 0.5000).

***

# 2
First-principles (PBE) data for a geometry-optimized Na2InTe structure, as listed in the Alexandria database.

The value obtained for the uncorrected formation energy is -0.487 eV per atom. The excess energy over the best structure of this formula in the dataset comes out at 0.000 eV per atom.

The space group is P4/mmm (No. 123) and the conventional cell measures 4.9692, 4.9692 and 4.5497 Å, with angles of 90.00, 90.00 and 90.00 degrees. The inequivalent atoms are Na at (0.0000, 0.5000, 0.0000), In at (0.0000, 0.0000, 0.5000) and Te at (0.5000, 0.5000, 0.5000).

***

# 3
First-principles (PBE) data for a geometry-optimized Tb2SiAu3 structure, as listed in the Alexandria database.

The value obtained for the uncorrected formation energy is -0.790 eV per atom.

The space group is Pmm2 (No. 25) and the conventional cell measures 3.5318, 4.4752 and 8.0689 Å, with angles of 90.00, 90.00 and 90.00 degrees. The inequivalent atoms are Tb at (0.0000, 0.0000, 0.0000), Tb at (0.0000, 0.5000, 0.4912), Si at (0.5000, 0.5000, 0.8237), Au at (0.5000, 0.0000, 0.3372), Au at (0.5000, 0.0000, 0.6808) and Au at (0.5000, 0.5000, 0.1378).

***

# 4
First-principles (PBE) data for a geometry-optimized KNa2Cd2 structure, as listed in the Alexandria database.

Its energy of formation from the pure elements is -0.04 eV per atom. The excess energy over the best structure of this formula in the dataset comes out at 0.010 eV per atom.

The space group is P4/mbm (No. 127) and the conventional cell measures 9.6467, 9.6467 and 3.4338 Å, with angles of 90.00, 90.00 and 90.00 degrees. The inequivalent atoms are K at (0.0000, 0.0000, 0.0000), Na at (0.1254, 0.3746, 0.0000) and Cd at (0.1691, 0.6691, 0.5000).

***

# 5
First-principles (PBE) data for a geometry-optimized Ac8Rh2Au structure, as listed in the Alexandria database.

Its energy of formation from the pure elements is -0.17 eV per atom.

The space group is C2/m (No. 12) and the conventional cell measures 13.4975, 7.5537 and 9.2809 Å, with angles of 90.00, 94.31 and 90.00 degrees. The inequivalent atoms are Ac at (0.0817, 0.0000, 0.1897), Ac at (0.1547, 0.2509, 0.6542), Ac at (0.1566, 0.5000, 0.0347), Rh at (0.1354, 0.0000, 0.8921) and Au at (0.0000, 0.0000, 0.5000).

***

# 6
First-principles (PBE) data for a geometry-optimized CaSm3 structure, as listed in the Alexandria database.

Its energy of formation from the pure elements is 0.10 eV per atom.

The space group is P6_3/mmc (No. 194) and the conventional cell measures 7.4267, 7.4267 and 5.9199 Å, with angles of 90.00, 90.00 and 120.00 degrees. The inequivalent atoms are Ca at (0.3333, 0.6667, 0.2500) and Sm at (0.1641, 0.3282, 0.7500).

***

# 7
First-principles (PBE) data for a geometry-optimized Ti3GaRu4 structure, as listed in the Alexandria database.

Its energy of formation from the pure elements is -0.70 eV per atom.

The space group is Pmmm (No. 47) and the conventional cell measures 3.0891, 4.3136 and 8.6665 Å, with angles of 90.00, 90.00 and 90.00 degrees. The inequivalent atoms are Ti at (0.0000, 0.0000, 0.0000), Ti at (0.0000, 0.5000, 0.2569), Ga at (0.0000, 0.0000, 0.5000), Ru at (0.5000, 0.0000, 0.2474), Ru at (0.5000, 0.5000, 0.0000) and Ru at (0.5000, 0.5000, 0.5000).

***

# 8
First-principles (PBE) data for a geometry-optimized MgNb2Re2 structure, as listed in the Alexandria database.

Its energy of formation from the pure elements is 0.28 eV per atom. The excess energy over the best structure of this formula in the dataset comes out at 0.065 eV per atom.

The space group is P4/mbm (No. 127) and the conventional cell measures 7.7903, 7.7903 and 2.9944 Å, with angles of 90.00, 90.00 and 90.00 degrees. The inequivalent atoms are Mg at (0.0000, 0.0000, 0.0000), Nb at (0.1447, 0.3553, 0.0000) and Re at (0.1541, 0.6541, 0.5000).

***

# 9
First-principles (PBE) data for a geometry-optimized LuPuAgPd structure, as listed in the Alexandria database.

Its energy of formation from the pure elements is -0.33 eV per atom.

The space group is F-43m (No. 216) and the conventional cell measures 7.1127, 7.1127 and 7.1127 Å, with angles of 90.00, 90.00 and 90.00 degrees. The inequivalent atoms are Lu at (0.0000, 0.0000, 0.0000), Pu at (0.0000, 0.0000, 0.5000), Ag at (0.2500, 0.2500, 0.7500) and Pd at (0.2500, 0.2500, 0.2500).

***

# 10
First-principles (PBE) data for a geometry-optimized Ce3PaH8 structure, as listed in the Alexandria database.

The space group is Pm-3m (No. 221) and the conventional cell measures 5.3857, 5.3857 and 5.3857 Å, with angles of 90.00, 90.00 and 90.00 degrees. The inequivalent atoms are Ce at (0.0000, 0.0000, 0.5000), Pa at (0.5000, 0.5000, 0.5000) and H at (0.2574, 0.2574, 0.2574).

***

# 11
First-principles (PBE) data for a geometry-optimized VCoH structure, as listed in the Alexandria database.

The excess energy over the best structure of this formula in the dataset comes out at 0.069 eV per atom.

The space group is R3m (No. 160, hexagonal axes) and the conventional cell measures 2.6212, 2.6212 and 12.8938 Å, with angles of 90.00, 90.00 and 120.00 degrees. The inequivalent atoms are V at (0.0000, 0.0000, 0.0000), Co at (0.0000, 0.0000, 0.4889) and H at (0.0000, 0.0000, 0.2365).

***

# 12
First-principles (PBE) data for a geometry-optimized DySnI structure, as listed in the Alexandria database.

The value obtained for the uncorrected formation energy is -0.747 eV per atom.

The space group is C2/m (No. 12) and the conventional cell measures 11.0568, 3.9537 and 11.1990 Å, with angles of 90.00, 93.80 and 90.00 degrees. The inequivalent atoms are Dy at (0.1246, 0.0000, 0.3533), Sn at (0.1006, 0.5000, 0.5853) and I at (0.1547, 0.5000, 0.1540).

***

| no. | final energy (eV per atom) | density (g/cm³) |
| --- | --- | --- |
| 1 | -6.39 | 11.74 |
| 2 | -2.62 | 4.26 |
| 3 | -4.88 | 12.20 |
| 4 | -1.15 | 3.22 |
| 5 | -4.80 | 7.81 |
| 6 | -3.94 | 5.77 |
| 7 | -8.68 | 8.88 |
| 8 | -9.04 | 10.65 |
| 9 | -7.06 | 11.69 |
| 10 | -4.97 | 7.01 |
| 11 | -6.61 | 7.20 |
| 12 | -4.13 | 5.55 |